Record 1
Material: AcNd5Dy2Er
Method: DFT, PBE-GGA
State: optimized geometry

Summary:
**Calculated volume**: 36.07 Å³/atom
**Formation energy from the elements**: 0.142 eV per atom
**Magnetization**: 0.00 μB/cell
**Total energy**: -4.493 eV/atom

a b c (Å): 5.574 12.575 9.497
angles (deg): 90.00 90.00 102.81
Element x y z (fractional)
Ac 0.602 0.204 0.926
Ac 0.398 0.796 0.426
Nd 0.393 0.786 0.031
Nd 0.742 0.483 0.862
Nd 0.476 0.951 0.754
Nd 0.310 0.619 0.722
Nd 0.010 0.021 0.536
Nd 0.607 0.214 0.531
Nd 0.258 0.517 0.362
Nd 0.524 0.049 0.254
Nd 0.690 0.381 0.222
Nd 0.990 0.979 0.036
Dy 0.888 0.775 0.782
Dy 0.174 0.348 0.677
Dy 0.112 0.225 0.282
Dy 0.826 0.652 0.177
Er 0.763 0.525 0.535
Er 0.237 0.475 0.035



Record 2
Material: NpHgSb2
Method: DFT, PBE-GGA
State: optimized geometry

Summary:
**Raw formation energy**: 110 meV/atom
**Calculated volume**: 29.84 Å³/atom
**Energy above the most stable polymorph in this dataset**: 253 meV per atom
**Magnetization**: 3.96 μB/cell
**Total energy**: -5.262 eV/atom

a b c (Å): 4.607 4.607 7.017
angles (deg): 70.84 70.84 60.00
Last column: magnetic moment on the atom in μB.
Element x y z (fractional)
Np 0.667 0.667 0.998  3.84
Hg 0.497 0.497 0.509  0.02
Sb 0.081 0.081 0.758  -0.03
Sb 0.255 0.255 0.235  -0.03



Record 3
Material: TaBe6Co2
Method: DFT, PBE-GGA
State: optimized geometry

Summary:
**Calculated volume**: 9.92 Å³/atom
**Formation energy from the elements**: -0.051 eV per atom
**Magnetization**: 0.00 μB/cell
**Total energy**: -5.431 eV/atom

a b c (Å): 2.794 6.317 6.317
angles (deg): 55.77 77.23 77.23
Element x y z (fractional)
Ta 0.000 0.000 0.000
Be 0.680 0.011 0.629
Be 0.320 0.989 0.371
Be 0.320 0.371 0.989
Be 0.500 0.663 0.337
Be 0.500 0.337 0.663
Be 0.680 0.629 0.011
Co 0.868 0.632 0.632
Co 0.132 0.368 0.368



Record 4
Material: Ca2NiRh
Method: DFT, PBE-GGA
State: optimized geometry

Summary:
**Calculated volume**: 20.91 Å³/atom
**Formation energy from the elements**: 0.148 eV per atom
**Magnetization**: 0.00 μB/cell
**Total energy**: -4.136 eV/atom

a b c (Å): 7.494 7.494 6.079
angles (deg): 51.95 51.95 90.00
Element x y z (fractional)
Ni 0.500 0.500 0.000
Ni 0.250 0.750 0.500
Ca 0.619 0.125 0.250
Ca 0.131 0.625 0.250
Ca 0.375 0.381 0.750
Ca 0.875 0.869 0.750
Rh 0.000 0.000 0.000
Rh 0.750 0.250 0.500



Record 5
Material: MnPSeSN
Method: DFT, PBE-GGA
State: optimized geometry

Summary:
**Raw formation energy**: -119 meV/atom
**Calculated volume**: 19.29 Å³/atom
**Energy above the most stable polymorph in this dataset**: 0 meV per atom
**Magnetization**: 0.39 μB/cell
**Total energy**: -6.223 eV/atom

a b c (Å): 2.783 5.155 7.202
angles (deg): 102.62 92.74 105.65
Last column: magnetic moment on the atom in μB.
Element x y z (fractional)
Mn 0.488 0.969 0.633  0.39
P 0.248 0.512 0.539  -0.01
Se 0.302 0.689 0.273  0.01
S 0.041 0.020 0.855  -0.02
N 0.655 0.323 0.547  0.00



Record 6
Material: Tb2Dy3HoTe6
Method: DFT, PBE-GGA
State: optimized geometry

Summary:
**Raw formation energy**: -1284 meV/atom
**Calculated volume**: 29.20 Å³/atom
**Magnetization**: 0.00 μB/cell
**Total energy**: -5.158 eV/atom

a b c (Å): 4.332 8.759 9.729
angles (deg): 102.86 102.86 90.00
Element x y z (fractional)
Tb 0.832 0.666 0.664
Tb 0.168 0.334 0.336
Dy 0.500 0.500 0.000
Dy 0.832 0.167 0.664
Dy 0.168 0.833 0.336
Ho 0.500 0.000 0.000
Te 0.334 0.919 0.669
Te 0.666 0.584 0.331
Te 0.666 0.081 0.331
Te 0.999 0.249 0.999
Te 0.001 0.751 0.001
Te 0.334 0.416 0.669